# 1
Below is a PBEsol-optimized structure of ZrTa2Cl, with properties calculated at the SCAN level.

Summary:
Its raw formation energy is -0.145 eV per atom.

Unit cell a=3.376 b=4.916 c=8.793 alpha=90.00 beta=90.00 gamma=90.00
Space group Cmm2 (No. 35)
One atom of each set of equivalent atoms:
Zr  0.000  0.000  0.000
Ta  0.000  0.000  0.494
Ta  0.000  0.500  0.734
Cl  0.000  0.500  0.241


# 2
Below is a PBEsol-optimized structure of AgSnO2F, with properties calculated at the SCAN level.

Summary:
Its raw formation energy is -0.565 eV per atom.

Unit cell a=4.062 b=4.062 c=4.143 alpha=90.00 beta=90.00 gamma=90.00
Space group P4/mmm (No. 123)
One atom of each set of equivalent atoms:
Ag  0.000  0.000  0.000
Sn  0.500  0.500  0.500
O  0.000  0.500  0.000
F  0.000  0.000  0.500


# 3
Below is a PBEsol-optimized structure of Ta2W, with properties calculated at the SCAN level.

Summary:
As for the calculated formation energy: -0.07 eV/atom.

Unit cell a=10.243 b=3.215 c=6.496 alpha=90.00 beta=108.88 gamma=90.00
Space group C2/m (No. 12)
One atom of each set of equivalent atoms:
Ta  0.002  0.000  0.243
Ta  0.169  0.500  0.589
W  0.170  0.500  0.081


# 4
Below is a PBEsol-optimized structure of SrAlZn, with properties calculated at the SCAN level.

Summary:
As for the calculated formation energy: -0.08 eV/atom.

Unit cell a=3.487 b=3.487 c=11.553 alpha=90.00 beta=90.00 gamma=90.00
Space group I4mm (No. 107)
One atom of each set of equivalent atoms:
Sr  0.000  0.000  0.000
Al  0.000  0.000  0.297
Zn  0.000  0.000  0.693


Number 1: Fermi-level density of states 8.060 states/eV per cell. Number 2: Fermi-level density of states 1.151 states/eV per cell. Number 3: Fermi-level density of states 11.499 states/eV per cell. Number 4: Fermi-level density of states 3.691 states/eV per cell.